The following is a DFT calculation (GGA-PBE) of a relaxed structure of SrMg16Al12.

Results
Energy above the lowest structure with this stoichiometry in meV/atom: 2
Final energy in eV per atom: -2.53

abc: 15.1080 15.1080 9.1273
angles: 90.00 90.00 120.00
Space group R3m (No. 160, hexagonal axes)
Inequivalent atoms, fractional coordinates:
Sr 0.0000 0.0000 0.0000
Mg 0.0000 0.0000 0.3771
Mg 0.0077 0.3067 0.6785
Mg 0.0660 0.5330 0.5910
Mg 0.2190 0.4380 0.1562
Mg 0.2222 0.1111 0.8674
Al 0.0617 0.1233 0.6784
Al 0.0928 0.5464 0.1054
Al 0.1499 0.4809 0.8592

=====

The following is a DFT calculation (GGA-PBE) of a relaxed structure of K5PaO4.

Results
Formation energy without anion corrections in meV per atom: -1931
Final energy in eV per atom: -5.41

abc: 21.0732 3.6573 7.8281
angles: 90.00 105.31 90.00
Space group C2/m (No. 12)
Inequivalent atoms, fractional coordinates:
K 0.0000 0.0000 0.0000
K 0.1418 0.5000 0.3792
K 0.1461 0.5000 0.8175
Pa 0.0000 0.0000 0.5000
O 0.9999 0.5000 0.3157
O 0.1016 0.0000 0.5707

=====

The following is a DFT calculation (GGA-PBE) of a relaxed structure of AlCu2Tc.

Results
Final energy in eV per atom: -5.62

abc: 2.6605 4.2642 4.7099
angles: 90.00 90.12 90.00
Space group Pm (No. 6)
Inequivalent atoms, fractional coordinates:
Al 0.0000 0.0000 0.0000
Cu 0.0005 0.5000 0.6566
Cu 0.4981 0.0000 0.5083
Tc 0.5014 0.5000 0.1646

=====

The following is a DFT calculation (GGA-PBE) of a relaxed structure of HfVCd.

Results
Energy above the lowest structure with this stoichiometry in meV/atom: 0
Final energy in eV per atom: -6.66

abc: 3.1240 3.1155 11.6422
angles: 90.00 90.13 90.00
Space group P2_1/m (No. 11)
Inequivalent atoms, fractional coordinates:
Hf 0.2450 0.2500 0.2109
V 0.2502 0.2500 0.9459
Cd 0.2527 0.2500 0.5931

=====

The following is a DFT calculation (GGA-PBE) of a relaxed structure of CuTeAs2.

Results
Formation energy without anion corrections in meV per atom: 261
Final energy in eV per atom: -3.87

abc: 3.1565 3.1565 9.3664
angles: 90.00 90.00 90.00
Space group P4/mmm (No. 123)
Inequivalent atoms, fractional coordinates:
Cu 0.0000 0.0000 0.0000
Te 0.0000 0.0000 0.5000
As 0.5000 0.5000 0.1416

=====

The following is a DFT calculation (GGA-PBE) of a relaxed structure of Mg2Ga.

Results
Final energy in eV per atom: -2.15

abc: 5.4236 5.4236 4.8382
angles: 90.00 90.00 120.00
Space group P-62m (No. 189)
Inequivalent atoms, fractional coordinates:
Mg 0.0000 0.0000 0.0000
Mg 0.0000 0.3473 0.5000
Ga 0.3333 0.6667 0.0000